Entry from the Alexandria database: a relaxed CeNdSc2In4 crystal (PBE).

As for the mass density: 6.7 g/cm3. Its total energy is -4.691 eV per atom. For the size of the total moment, the calculation gives 0.1156 μB/atom.

It has space group R-3m (No. 166, hexagonal axes), with a = 5.2649 Å, b = 5.2649 Å, c = 25.8732 Å, α = 90.00°, β = 90.00° and γ = 120.00°. The asymmetric unit holds Ce at (0.0000, 0.0000, 0.0000), Nd at (0.0000, 0.0000, 0.5000), Sc at (0.0000, 0.0000, 0.2501), In at (0.0000, 0.0000, 0.1249) and In at (0.0000, 0.0000, 0.3750).


Entry from the Alexandria database: a relaxed Y2SbHPd6 crystal (PBE).

As for the mass density: 8.8 g/cm3. Its total energy is -5.821 eV per atom. For the size of the total moment, the calculation gives 0.0000 μB/atom.

It has space group P-1 (No. 2), with a = 5.671 Å, b = 5.674 Å, c = 7.077 Å, α = 66.38°, β = 66.60° and γ = 61.32°. The asymmetric unit holds Y at (0.249, 0.247, 0.310), Sb at (0.500, 0.500, 0.500), H at (0.000, 0.000, 0.000), Pd at (0.191, 0.689, 0.848), Pd at (0.208, 0.210, 0.774) and Pd at (0.311, 0.809, 0.151).


Entry from the Alexandria database: a relaxed BeTcOs2 crystal (PBE).

As for the mass density: 15.3 g/cm3. Its total energy is -9.071 eV per atom. For the size of the total moment, the calculation gives 0.0000 μB/atom.

It has space group R-3m (No. 166, hexagonal axes), with a = 2.7298 Å, b = 2.7298 Å, c = 24.6346 Å, α = 90.00°, β = 90.00° and γ = 120.00°. The asymmetric unit holds Be at (0.0000, 0.0000, 0.0000), Tc at (0.0000, 0.0000, 0.5000) and Os at (0.0000, 0.0000, 0.2552).


Entry from the Alexandria database: a relaxed CuBiSb2I crystal (PBE).

The calculation puts the formation energy (no corrections) at 9.50 kcal/mol of atoms. As for the mass density: 7.5 g/cm3. For the size of the total moment, the calculation gives 0.0000 μB/atom.

It has space group P4/mmm (No. 123), with a = 5.212 Å, b = 5.212 Å, c = 5.226 Å, α = 90.00°, β = 90.00° and γ = 90.00°. The asymmetric unit holds Cu at (0.000, 0.000, 0.000), Bi at (0.500, 0.500, 0.500), Sb at (0.000, 0.500, 0.000) and I at (0.000, 0.000, 0.500).


Entry from the Alexandria database: a relaxed BeTlCr2 crystal (PBE).

As for the mass density: 9.6 g/cm3. Its total energy is -5.629 eV per atom. For the size of the total moment, the calculation gives 0.4143 μB/atom.

It has space group I4/mmm (No. 139), with a = 3.634 Å, b = 3.634 Å, c = 8.325 Å, α = 90.00°, β = 90.00° and γ = 90.00°. The asymmetric unit holds Be at (0.000, 0.000, 0.000), Tl at (0.000, 0.000, 0.500) and Cr at (0.000, 0.500, 0.250).


Entry from the Alexandria database: a relaxed CuW2 crystal (PBE).

As for the mass density: 16.2 g/cm3. Its total energy is -9.618 eV per atom. For the size of the total moment, the calculation gives 0.0000 μB/atom.

It has space group I4/mcm (No. 140), with a = 5.990 Å, b = 5.990 Å, c = 4.927 Å, α = 90.00°, β = 90.00° and γ = 90.00°. The asymmetric unit holds Cu at (0.000, 0.000, 0.250) and W at (0.154, 0.346, 0.000).